! TbPrTh2Se4 GGA-PBE optimized geometry; values from VASP
&SYSTEM
  ibrav = 0, nat = 8, ntyp = 4
/
ATOMIC_SPECIES
Tb 158.93 Tb.upf
Pr 140.91 Pr.upf
Th 232.04 Th.upf
Se 78.96 Se.upf
ATOMIC_POSITIONS crystal
Tb 0.0000 0.0000 0.0000
Pr 0.5000 0.5000 0.0000
Th 0.0000 0.5000 0.5000
Th 0.5000 0.0000 0.5000
Se 0.2409 0.5000 0.2418
Se 0.2445 0.0000 0.7536
Se 0.7555 0.0000 0.2464
Se 0.7591 0.5000 0.7582
CELL_PARAMETERS angstrom
7.1562 0.0000 0.0000
0.0000 4.1960 0.0000
-2.4433 0.0000 6.9392
! Volume   26.05 A^3/atom
! E_form (uncorrected)   -159.9 kJ/mol of atoms
! Space group   P2/m
! Total moment   0.0000 μB/atom
! D(E_F)   5.0 states/eV/f.u.
! Raw total energy   -51.45 eV per cell


! Tb2Pr3ThSe6 GGA-PBE optimized geometry; values from VASP
&SYSTEM
  ibrav = 0, nat = 12, ntyp = 4
/
ATOMIC_SPECIES
Tb 158.93 Tb.upf
Pr 140.91 Pr.upf
Th 232.04 Th.upf
Se 78.96 Se.upf
ATOMIC_POSITIONS crystal
Tb 0.1657 0.1657 0.3308
Tb 0.8343 0.8343 0.6692
Pr 0.1628 0.1628 0.8335
Pr 0.5000 0.5000 0.5000
Pr 0.8372 0.8372 0.1665
Th 0.5000 0.5000 0.0000
Se 0.0049 0.0049 0.2515
Se 0.3291 0.3291 0.4251
Se 0.3320 0.3320 0.9054
Se 0.6680 0.6680 0.0946
Se 0.6709 0.6709 0.5749
Se 0.9951 0.9951 0.7485
CELL_PARAMETERS angstrom
9.1447 -2.0904 0.0000
9.1447 2.0904 0.0000
-1.9229 0.0000 8.2268
! Volume   26.21 A^3/atom
! E_form (uncorrected)   -170.3 kJ/mol of atoms
! Space group   C2/m
! Total moment   0.0000 μB/atom
! D(E_F)   6.8 states/eV/f.u.
! Raw total energy   -73.11 eV per cell


! Tb2PrThSe4 GGA-PBE optimized geometry; values from VASP
&SYSTEM
  ibrav = 0, nat = 8, ntyp = 4
/
ATOMIC_SPECIES
Tb 158.93 Tb.upf
Pr 140.91 Pr.upf
Th 232.04 Th.upf
Se 78.96 Se.upf
ATOMIC_POSITIONS crystal
Tb 0.0000 0.0000 0.0000
Tb 0.5000 0.5000 0.0000
Pr 0.0000 0.5000 0.5000
Th 0.5000 0.0000 0.5000
Se 0.2469 0.5000 0.2367
Se 0.2565 0.0000 0.7642
Se 0.7435 0.0000 0.2358
Se 0.7531 0.5000 0.7633
CELL_PARAMETERS angstrom
7.1692 0.0000 0.0000
0.0000 4.1131 0.0000
-2.3724 0.0000 6.9251
! Volume   25.53 A^3/atom
! E_form (uncorrected)   -166.5 kJ/mol of atoms
! Space group   P2/m
! Total moment   0.0000 μB/atom
! D(E_F)   4.0 states/eV/f.u.
! Raw total energy   -49.20 eV per cell


! TbPr4Th3Se8 GGA-PBE optimized geometry; values from VASP
&SYSTEM
  ibrav = 0, nat = 16, ntyp = 4
/
ATOMIC_SPECIES
Tb 158.93 Tb.upf
Pr 140.91 Pr.upf
Th 232.04 Th.upf
Se 78.96 Se.upf
ATOMIC_POSITIONS crystal
Tb 0.0000 0.0000 0.0000
Pr 0.0000 0.0000 0.5000
Pr 0.0000 0.5000 0.0000
Pr 0.5000 0.0000 0.0000
Pr 0.5000 0.5000 0.5000
Th 0.0000 0.5000 0.5000
Th 0.5000 0.0000 0.5000
Th 0.5000 0.5000 0.0000
Se 0.2450 0.2450 0.7531
Se 0.2450 0.7531 0.2450
Se 0.2469 0.7550 0.7550
Se 0.2506 0.2506 0.2506
Se 0.7494 0.7494 0.7494
Se 0.7531 0.2450 0.2450
Se 0.7550 0.2469 0.7550
Se 0.7550 0.7550 0.2469
CELL_PARAMETERS angstrom
4.2036 2.4269 6.9464
-4.2036 2.4269 6.9464
0.0000 -4.8539 6.9464
! Volume   26.57 A^3/atom
! E_form (uncorrected)   -165.5 kJ/mol of atoms
! Space group   R-3m
! Total moment   0.0000 μB/atom
! D(E_F)   8.6 states/eV/f.u.
! Raw total energy   -101.32 eV per cell


- What is the raw total energy in the fourth record?
  -101.32 eV per cell